Entry from Alexandria via LeMat-Bulk: an optimized crystal structure of LaTlPb (GGA-PBE).

Output
The formation energy comes out at -27.70 kJ/mol of atoms. As for the uncorrected energy: -3.95 eV/atom. As for the space-group type: No. 42. The theoretical density comes out at 9.65 g/cm³.

Geometry as POSCAR:
```
LaTlPb
1.0
6.681 -0.030 0.029
5.256 3.745 -0.002
1.425 -0.224 3.768
Tl Pb La
1 1 1
Cartesian
4.821 1.048 2.560
8.557 2.448 1.230
11.923 3.709 0.032
```